An optimized crystal structure of ScPaAlGa. Source: Alexandria, functional GGA-PBE.

Unit cell a=4.932 b=4.932 c=4.932 alpha=60.00 beta=60.00 gamma=60.00
Element x y z (fractional)
Sc1 0.500 0.500 0.500
Pa1 0.000 0.000 0.000
Al1 0.750 0.750 0.750
Ga1 0.250 0.250 0.250

Summary:
Density of states at the Fermi level, states/eV per cell: 6.2
ρ, Mg/m³: 7.30
Total magnetic moment, μB per formula unit: 0.7
SG: F-43m
Total DFT energy (no corrections), eV/cell: -23.5